A plane-wave DFT calculation with PBE was carried out for a relaxed ZnBAsH crystal.

a b c (Å): 4.2548 3.3178 4.4627
angles (deg): 90.00 115.86 90.00
With the nearest neighbours (Å) after each atom.
Space group Pm (No. 6)
Inequivalent atoms, fractional coordinates:
Zn (0.0000, 0.0000, 0.0000) (multiplicity 1)  2 B 2.40, 3 As 2.50-2.67
B (0.6629, 0.5000, 0.6019) (multiplicity 1)  1 H 1.21
As (0.6596, 0.0000, 0.3353) (multiplicity 1)  2 B 2.04
H (0.4424, 0.5000, 0.7052) (multiplicity 1)  1 B 1.21

Computed properties:
As for the distance to the lowest polymorph of the same formula: 0.0 meV/atom. Its crystal system is monoclinic. The calculation puts the calculated density at 4.457 Mg/m³.